[1]
Below is crystalline CsLiSn at its relaxed geometry, with properties calculated at the PBE-GGA level.

Cell: 6.0264 4.9277 4.9277 Å, 120.00 90.00 90.00°
Atoms (fractional coordinates):
Li (0.1668, 0.3333, 0.6667)
Cs (0.6667, 0.6667, 0.3333)
Sn (0.1666, 0.0000, 0.0000)

## Properties
As for the energy above the most stable polymorph in this dataset: 296 meV/atom. For the density of states at the Fermi level, the calculation gives 2.27 states/eV/f.u. The energy of formation is 0.130 eV/f.u.

[2]
Below is crystalline CsLiSn at its relaxed geometry, with properties calculated at the PBE-GGA level.

Cell: 4.8774 4.8774 13.2285 Å, 80.31 80.31 60.01°
Atoms (fractional coordinates):
Li (0.8375, 0.8375, 0.9861)
Li (0.1625, 0.1625, 0.0139)
Sn (0.5321, 0.5321, 0.8942)
Sn (0.4679, 0.4679, 0.1058)
Cs (0.7409, 0.7409, 0.3042)
Cs (0.2591, 0.2591, 0.6958)

## Properties
As for the energy above the most stable polymorph in this dataset: 0 meV/atom. For the density of states at the Fermi level, the calculation gives 0.84 states/eV/f.u. The energy of formation is -0.759 eV/f.u.

[3]
Below is crystalline Cs3LiSn4 at its relaxed geometry, with properties calculated at the PBE-GGA level.

Cell: 6.9345 7.4922 13.8861 Å, 90.00 90.00 90.00°
Atoms (fractional coordinates):
Sn (0.6650, 0.0000, 0.6105)
Sn (0.3350, 0.5000, 0.1105)
Sn (0.9524, 0.2061, 0.5000)
Sn (0.0476, 0.7061, 0.0000)
Sn (0.0476, 0.2939, 0.0000)
Sn (0.6650, 0.0000, 0.3895)
Sn (0.9524, 0.7939, 0.5000)
Sn (0.3350, 0.5000, 0.8895)
Cs (0.1660, 0.0000, 0.2404)
Cs (0.1660, 0.0000, 0.7596)
Cs (0.8340, 0.5000, 0.7404)
Cs (0.5558, 0.0000, 0.0000)
Cs (0.4442, 0.5000, 0.5000)
Cs (0.8340, 0.5000, 0.2596)
Li (0.6918, 0.5000, 0.0000)
Li (0.3082, 0.0000, 0.5000)

## Properties
The energy of formation is -2.640 eV/f.u.

[4]
Below is crystalline Cs3LiSn at its relaxed geometry, with properties calculated at the PBE-GGA level.

Cell: 7.0721 7.0721 7.0721 Å, 90.00 90.00 90.00°
Atoms (fractional coordinates):
Cs (0.0000, 0.0000, 0.5000)
Cs (0.5000, 0.0000, 0.0000)
Cs (0.0000, 0.5000, 0.0000)
Li (0.0000, 0.0000, 0.0000)
Sn (0.5000, 0.5000, 0.5000)

## Properties
For the density of states at the Fermi level, the calculation gives 3.15 states/eV/f.u. The energy of formation is 1.858 eV/f.u.